## NaTiSi2Mo (PBEsol)

Data for a geometry-optimized NaTiSi2Mo structure.

The structure in extended XYZ format:
```
5
Lattice="4.5181 0.0000 0.0000 0.0000 4.5181 0.0000 0.0000 0.0000 4.3022" Properties=species:S:1:pos:R:3 pbc="T T T"
Na 0.0000 0.0000 0.0000
Ti 0.0000 0.0000 2.1511
Si 0.0000 2.2590 0.0000
Si 2.2590 0.0000 0.0000
Mo 2.2590 2.2590 2.1511
```

## Properties
VASP energy	-4.73	eV per atom
ρ	4.2	g/cm3

***

## TlSNF2 (PBEsol)

Data for a geometry-optimized TlSNF2 structure.

The structure in extended XYZ format:
```
5
Lattice="4.6398 0.0000 0.0000 0.0000 4.6398 0.0000 0.0000 0.0000 3.3261" Properties=species:S:1:pos:R:3 pbc="T T T"
Tl 0.0000 0.0000 0.0000
S 2.3199 2.3199 1.6630
N 2.3199 2.3199 0.0000
F 0.0000 2.3199 1.6630
F 2.3199 0.0000 1.6630
```

## Properties
ΔE to the lowest computed polymorph	0	meV/atom
VASP energy	-4.32	eV per atom
ρ	6.7	g/cm3

***

## Mn2TcHg (PBEsol)

Data for a geometry-optimized Mn2TcHg structure.

The structure in extended XYZ format:
```
4
Lattice="4.4433 0.0000 0.0000 0.0000 4.4433 0.0000 0.0000 0.0000 2.9754" Properties=species:S:1:pos:R:3 pbc="T T T"
Mn 0.0000 2.2216 0.0000
Mn 2.2216 0.0000 0.0000
Tc 0.0000 0.0000 1.4877
Hg 2.2216 2.2216 1.4877
```

## Properties
energy of formation from the pure elements	0.498	eV/atom
VASP energy	-7.34	eV per atom
ρ	11.5	g/cm3